(1)
# PrInPb2Se5

Crystalline PrInPb2Se5 at its relaxed geometry (PBE, Alexandria).

Geometry as POSCAR:
```
PrInPb2Se5
1.0
4.2291 0.0000 0.0000
-2.1146 9.6222 0.0000
0.0000 0.0000 13.4099
Pb Pr Se In
4 2 10 2
Cartesian
2.1146 7.1799 11.0351 Pb
2.1146 6.8939 2.2588 Pb
0.0000 2.7283 8.9637 Pb
0.0000 2.4423 4.3302 Pb
2.1146 5.7624 6.9578 Pr
0.0000 3.8598 0.2529 Pr
0.0000 6.2181 4.8877 Se
0.0000 0.7730 0.7062 Se
2.1146 8.8492 7.4111 Se
2.1146 2.8252 6.9046 Se
0.0000 6.7970 0.1996 Se
0.0000 9.1426 10.3496 Se
2.1146 3.4041 11.5927 Se
2.1146 0.4796 3.6446 Se
2.1146 3.9693 2.3506 Se
0.0000 5.6529 9.0556 Se
0.0000 8.7589 5.8287 In
2.1146 0.8633 12.5337 In
```

(2)
# SrMnAs2Se

Crystalline SrMnAs2Se at its relaxed geometry (PBE, Alexandria).

## Properties
- D(E_F) (states/eV/cell) = 3.75

Geometry as POSCAR:
```
SrMnAs2Se
1.0
4.6449 0.0000 0.0000
0.0000 4.6449 0.0000
0.0000 0.0000 5.5210
Sr As Se Mn
1 2 1 1
Cartesian
2.3225 2.3225 2.7605 Sr
2.3225 0.0000 0.0000 As
0.0000 2.3225 0.0000 As
0.0000 0.0000 2.7605 Se
0.0000 0.0000 0.0000 Mn
```

(3)
# ZnCu2Si

Crystalline ZnCu2Si at its relaxed geometry (PBE, Alexandria).

## Properties
- D(E_F) (states/eV/cell) = 1.12

Geometry as POSCAR:
```
ZnCu2Si
1.0
3.6393 0.0000 0.0000
0.0000 2.7176 -0.0049
0.0000 2.6457 5.2389
Si Cu Zn
1 2 1
Cartesian
1.8197 1.3408 1.3085 Si
0.0000 2.7193 0.0198 Cu
0.0000 2.6800 2.5923 Cu
1.8197 4.0225 3.9255 Zn
```

Number 1: total energy -80.72 eV for the cell shown. Number 2: total energy -25.98 eV for the cell shown. Number 3: total energy -14.76 eV for the cell shown.